1.
Compound: Na2ScPBr
Source: Alexandria via LeMat-Bulk
Functional: PBE
Structure: relaxed

The formation energy (no corrections) is -0.607 eV per atom. For the total energy, the calculation gives -3.817 eV per atom.

The space group is P4/mmm (No. 123) and the conventional cell measures 5.4000, 5.4000 and 5.0009 Å, with angles of 90.00, 90.00 and 90.00 degrees. Symmetry generates all atoms from Na at (0.0000, 0.5000, 0.0000), Sc at (0.0000, 0.0000, 0.5000), P at (0.0000, 0.0000, 0.0000) and Br at (0.5000, 0.5000, 0.5000).

***

2.
Compound: LiNdZnRu
Source: Alexandria via LeMat-Bulk
Functional: PBE
Structure: relaxed

The formation energy is -0.051 eV/atom. For the total energy, the calculation gives -4.359 eV per atom.

The space group is F-43m (No. 216) and the conventional cell measures 6.6578, 6.6578 and 6.6578 Å, with angles of 90.00, 90.00 and 90.00 degrees. Symmetry generates all atoms from Li at (0.0000, 0.0000, 0.0000), Nd at (0.2500, 0.2500, 0.7500), Zn at (0.2500, 0.2500, 0.2500) and Ru at (0.0000, 0.0000, 0.5000).

***

3.
Compound: Tb7Y3Tm
Source: Alexandria via LeMat-Bulk
Functional: PBE
Structure: relaxed

The calculation puts the polymorph energy (0 for the lowest one) at 43 meV/atom. The formation energy is 0.188 eV/atom. For the total energy, the calculation gives -4.928 eV per atom.

The space group is P3m1 (No. 156) and the conventional cell measures 7.0546, 7.0546 and 8.6185 Å, with angles of 90.00, 90.00 and 120.00 degrees. Symmetry generates all atoms from Tb at (0.0000, 0.0000, 0.0000), Tb at (0.1653, 0.3307, 0.3268), Tb at (0.5013, 0.0025, 0.9950), Y at (0.3338, 0.1669, 0.6600) and Tm at (0.6667, 0.3333, 0.3220).